Here is a relaxed structure of AcGa2SiOs from the Alexandria database. Energies are from PBE.

total DFT energy (no corrections): -28.42 eV per cell
DOS at the Fermi energy: 0.61 states/eV per atom
formation energy (no corrections): -0.321 eV per atom
magnetic moment: 0.00 μB/cell

Cell and atoms, written as POSCAR:
```
AcGa2SiOs
1.0
4.142 0.000 0.000
0.000 4.251 0.000
-2.071 -2.126 5.659
Ga Os Si Ac
2 1 1 1
direct
0.693 0.193 0.387
0.064 0.064 0.127
0.201 0.701 0.403
0.815 0.815 0.629
0.439 0.439 0.879
```